[1]
A relaxed structure of Dy3Er4Co4, computed with PBE.

Lattice parameters (Å, degrees): 3.5951 8.7148 9.0361 118.83 101.47 90.00
Element x y z (fractional)
Dy  0.1035  0.1035  0.2071
Dy  0.8965  0.8965  0.7929
Dy  0.0000  0.5000  0.0000
Er  0.3340  0.1486  0.6680
Er  0.6660  0.4806  0.3320
Er  0.6660  0.8514  0.3320
Er  0.3340  0.5194  0.6680
Co  0.2510  0.7510  0.5019
Co  0.7490  0.2490  0.4981
Co  0.5000  0.7856  0.0000
Co  0.5000  0.2144  0.0000

Computed properties:
The formation energy comes out at -116 meV per atom. As for the space-group type: Immm (71).



[2]
A relaxed structure of Rb12Ba3I5, computed with PBE.

Lattice parameters (Å, degrees): 20.6631 20.6631 20.6631 109.47 109.47 109.47
Each line ends with the local moment (μB).
Element x y z (fractional)
Ba  0.7500  0.3750  0.1250  0.13
Ba  0.8750  0.7500  0.1250  0.13
Ba  0.3750  0.7500  0.6250  0.13
Ba  0.2500  0.1250  0.3750  0.13
Ba  0.8750  0.1250  0.2500  0.13
Ba  0.3750  0.6250  0.2500  0.13
Ba  0.6250  0.3750  0.7500  0.13
Ba  0.1250  0.8750  0.7500  0.13
Ba  0.7500  0.8750  0.6250  0.13
Ba  0.6250  0.2500  0.3750  0.13
Ba  0.1250  0.2500  0.8750  0.13
Ba  0.2500  0.6250  0.8750  0.13
I  0.1250  0.3750  0.2500  0.01
I  0.0000  0.5000  0.0000  0.01
I  0.0000  0.0000  0.0000  0.01
I  0.3750  0.2500  0.1250  0.01
I  0.5000  0.0000  0.5000  0.01
I  0.5000  0.5000  0.0000  0.01
I  0.1250  0.7500  0.3750  0.01
I  0.7500  0.1250  0.8750  0.01
I  0.7500  0.6250  0.3750  0.01
I  0.3750  0.1250  0.7500  0.01
I  0.6250  0.8750  0.2500  0.01
I  0.5000  0.5000  0.5000  0.01
I  0.5000  0.0000  0.0000  0.01
I  0.0000  0.0000  0.5000  0.01
I  0.2500  0.3750  0.6250  0.01
I  0.2500  0.8750  0.1250  0.01
I  0.0000  0.5000  0.5000  0.01
I  0.8750  0.2500  0.6250  0.01
I  0.6250  0.7500  0.8750  0.01
I  0.8750  0.6250  0.7500  0.01
Rb  0.6966  0.1043  0.0173  0.01
Rb  0.3207  0.5173  0.4130  0.01
Rb  0.9827  0.3957  0.3034  0.01
Rb  0.5173  0.1966  0.1043  0.01
Rb  0.5923  0.6966  0.6793  0.01
Rb  0.9827  0.5870  0.1793  0.01
Rb  0.3207  0.8034  0.4077  0.01
Rb  0.0870  0.9077  0.1043  0.01
Rb  0.5870  0.9827  0.6793  0.01
Rb  0.6966  0.5923  0.1793  0.01
Rb  0.8034  0.4827  0.3957  0.01
Rb  0.8207  0.9130  0.0173  0.01
Rb  0.1043  0.6966  0.5173  0.01
Rb  0.3957  0.4130  0.0923  0.01
Rb  0.0923  0.9130  0.3957  0.01
Rb  0.4077  0.1043  0.5870  0.01
Rb  0.0923  0.1793  0.1966  0.01
Rb  0.4827  0.6793  0.0870  0.01
Rb  0.8207  0.9077  0.3034  0.01
Rb  0.1043  0.4077  0.0870  0.01
Rb  0.3957  0.9827  0.8034  0.01
Rb  0.5870  0.6043  0.4077  0.01
Rb  0.9130  0.8207  0.5173  0.01
Rb  0.8034  0.3207  0.9077  0.01
Rb  0.4130  0.3957  0.5923  0.01
Rb  0.0870  0.1793  0.4827  0.01
Rb  0.1966  0.6793  0.0923  0.01
Rb  0.1793  0.0923  0.6966  0.01
Rb  0.6043  0.0173  0.1966  0.01
Rb  0.8957  0.5923  0.9130  0.01
Rb  0.5173  0.3207  0.9130  0.01
Rb  0.5923  0.8957  0.4130  0.01
Rb  0.9077  0.8207  0.8034  0.01
Rb  0.9077  0.0870  0.6043  0.01
Rb  0.8957  0.3034  0.4827  0.01
Rb  0.1793  0.0870  0.9827  0.01
Rb  0.6043  0.5870  0.9077  0.01
Rb  0.4130  0.0173  0.3207  0.01
Rb  0.3034  0.4077  0.8207  0.01
Rb  0.1966  0.5173  0.6043  0.01
Rb  0.9130  0.0923  0.8957  0.01
Rb  0.6793  0.1966  0.5923  0.01
Rb  0.4827  0.8034  0.8957  0.01
Rb  0.0173  0.4130  0.8207  0.01
Rb  0.4077  0.3034  0.3207  0.01
Rb  0.0173  0.6043  0.6966  0.01
Rb  0.6793  0.4827  0.5870  0.01
Rb  0.3034  0.8957  0.9827  0.01

Computed properties:
The uncorrected formation energy comes out at -45 kJ per mole of atoms. As for the space-group type: Ia-3d (230).



[3]
A relaxed structure of Sr7Tl2In2, computed with PBE.

Lattice parameters (Å, degrees): 7.5907 8.7596 7.5907 90.00 112.25 90.00
Element x y z (fractional)
Sr  0.9998  0.2872  0.5003
Sr  0.5003  0.7128  0.9998
Sr  0.0002  0.7128  0.4997
Sr  0.4997  0.2872  0.0002
Sr  0.0000  0.0000  0.0000
Sr  0.5002  0.7396  0.4998
Sr  0.4998  0.2604  0.5002
Tl  0.7082  0.0000  0.2918
Tl  0.2918  0.0000  0.7082
In  0.8303  0.5000  0.8303
In  0.1697  0.5000  0.1697

Computed properties:
The formation energy comes out at -189 meV per atom. As for the space-group type: Cmmm (65).



no.,Fermi-level density of states (states/eV per cell),electronic total energy (eV/atom)
1,8.7,-5.614
2,80.1,-1.725
3,10.3,-2.187